[1]
Below is a crystal of Ta4Rh3 relaxed with PBEsol, with properties calculated at the SCAN level.

As for the distance to the lowest polymorph of the same formula: 0.285 eV per formula unit. Its energy relative to the elements is -0.401 eV per atom.

The space group is I4/mmm (No. 139) and the conventional cell measures 3.2246, 3.2246 and 21.5409 Å, with angles of 90.00, 90.00 and 90.00 degrees. Symmetry generates all atoms from Ta at (0.0000, 0.0000, 0.0717), Ta at (0.0000, 0.0000, 0.3473), Rh at (0.0000, 0.0000, 0.2107) and Rh at (0.0000, 0.0000, 0.5000).

=====

[2]
Below is a crystal of TaRh2 relaxed with PBEsol, with properties calculated at the SCAN level.

Its energy relative to the elements is -0.663 eV per atom.

The space group is I4_1/amd (No. 141, origin choice 2) and the conventional cell measures 3.8368, 3.8368 and 23.8953 Å, with angles of 90.00, 90.00 and 90.00 degrees. Symmetry generates all atoms from Ta at (0.0000, 0.2500, 0.2978), Rh at (0.0000, 0.2500, 0.1258) and Rh at (0.0000, 0.2500, 0.7920).

=====

[3]
Below is a crystal of Ta4Rh5 relaxed with PBEsol, with properties calculated at the SCAN level.

Its energy relative to the elements is -0.561 eV per atom.

The space group is I4/mmm (No. 139) and the conventional cell measures 8.3877, 8.3877 and 3.8978 Å, with angles of 90.00, 90.00 and 90.00 degrees. Symmetry generates all atoms from Ta at (0.0000, 0.3137, 0.0000), Rh at (0.0000, 0.0000, 0.0000) and Rh at (0.1650, 0.1650, 0.5000).

=====

[4]
Below is a crystal of TaRh relaxed with PBEsol, with properties calculated at the SCAN level.

Its energy relative to the elements is -0.476 eV per atom.

The space group is C2/m (No. 12) and the conventional cell measures 9.2603, 2.8291 and 4.8171 Å, with angles of 90.00, 99.38 and 90.00 degrees. Symmetry generates all atoms from Ta at (0.1160, 0.0000, 0.3322) and Rh at (0.1304, 0.5000, 0.8450).

=====

[5]
Below is a crystal of TaRh2 relaxed with PBEsol, with properties calculated at the SCAN level.

Its energy relative to the elements is -0.667 eV per atom.

The space group is Cmmm (No. 65) and the conventional cell measures 3.8856, 11.9194 and 3.7960 Å, with angles of 90.00, 90.00 and 90.00 degrees. Symmetry generates all atoms from Ta at (0.0000, 0.1546, 0.0000), Rh at (0.0000, 0.0000, 0.5000), Rh at (0.0000, 0.3334, 0.5000) and Rh at (0.0000, 0.5000, 0.0000).

=====

[6]
Below is a crystal of Ta8Rh relaxed with PBEsol, with properties calculated at the SCAN level.

Its energy relative to the elements is -0.182 eV per atom.

The space group is I4/mmm (No. 139) and the conventional cell measures 9.6446, 9.6446 and 3.3057 Å, with angles of 90.00, 90.00 and 90.00 degrees. Symmetry generates all atoms from Ta at (0.0000, 0.3317, 0.0000), Ta at (0.1649, 0.1649, 0.5000) and Rh at (0.0000, 0.0000, 0.0000).

=====

[7]
Below is a crystal of TaRh2 relaxed with PBEsol, with properties calculated at the SCAN level.

Its energy relative to the elements is -0.645 eV per atom.

The space group is Pnma (No. 62) and the conventional cell measures 5.4556, 3.9377 and 8.2292 Å, with angles of 90.00, 90.00 and 90.00 degrees. Symmetry generates all atoms from Ta at (0.1589, 0.2500, 0.1015), Rh at (0.0986, 0.2500, 0.7617) and Rh at (0.1445, 0.2500, 0.4243).

=====

[8]
Below is a crystal of TaRh relaxed with PBEsol, with properties calculated at the SCAN level.

Its energy relative to the elements is -0.456 eV per atom.

The space group is I4_1/amd (No. 141, origin choice 2) and the conventional cell measures 3.8589, 3.8589 and 8.3062 Å, with angles of 90.00, 90.00 and 90.00 degrees. Symmetry generates all atoms from Ta at (0.0000, 0.2500, 0.3750) and Rh at (0.0000, 0.2500, 0.8750).

=====

[9]
Below is a crystal of Ta4Rh3 relaxed with PBEsol, with properties calculated at the SCAN level.

As for the distance to the lowest polymorph of the same formula: 0.000 eV per formula unit. Its energy relative to the elements is -0.442 eV per atom.

The space group is P6/mmm (No. 191) and the conventional cell measures 5.1032, 5.1032 and 4.9277 Å, with angles of 90.00, 90.00 and 120.00 degrees. Symmetry generates all atoms from Ta at (0.0000, 0.0000, 0.2482), Ta at (0.3333, 0.6667, 0.0000) and Rh at (0.0000, 0.5000, 0.5000).

=====

[10]
Below is a crystal of TaRh relaxed with PBEsol, with properties calculated at the SCAN level.

Its energy relative to the elements is 0.610 eV per atom.

The space group is F-43m (No. 216) and the conventional cell measures 5.6589, 5.6589 and 5.6589 Å, with angles of 90.00, 90.00 and 90.00 degrees. Symmetry generates all atoms from Ta at (0.0000, 0.0000, 0.0000) and Rh at (0.2500, 0.2500, 0.2500).

=====

[11]
Below is a crystal of TaRh relaxed with PBEsol, with properties calculated at the SCAN level.

Its energy relative to the elements is -0.482 eV per atom.

The space group is Pbcm (No. 57) and the conventional cell measures 9.5096, 7.5398 and 5.2649 Å, with angles of 90.00, 90.00 and 90.00 degrees. Symmetry generates all atoms from Ta at (0.1353, 0.0417, 0.2500), Ta at (0.3249, 0.6437, 0.2500), Ta at (0.3652, 0.2500, 0.0000), Rh at (0.0854, 0.7500, 0.0000), Rh at (0.1315, 0.0927, 0.7500) and Rh at (0.4438, 0.5432, 0.7500).

=====

[12]
Below is a crystal of Ta3Rh2 relaxed with PBEsol, with properties calculated at the SCAN level.

Its energy relative to the elements is -0.436 eV per atom.

The space group is P4_2/mnm (No. 136) and the conventional cell measures 9.7663, 9.7663 and 5.0421 Å, with angles of 90.00, 90.00 and 90.00 degrees. Symmetry generates all atoms from Ta at (0.0000, 0.0000, 0.0000), Ta at (0.0399, 0.3629, 0.5000), Ta at (0.1814, 0.8186, 0.2517), Rh at (0.0710, 0.2665, 0.0000) and Rh at (0.0987, 0.0987, 0.5000).

=====

[13]
Below is a crystal of TaRh2 relaxed with PBEsol, with properties calculated at the SCAN level.

Its energy relative to the elements is -0.566 eV per atom.

The space group is P6_3/mmc (No. 194) and the conventional cell measures 4.3716, 4.3716 and 5.3925 Å, with angles of 90.00, 90.00 and 120.00 degrees. Symmetry generates all atoms from Ta at (0.3333, 0.6667, 0.2500), Rh at (0.0000, 0.0000, 0.0000) and Rh at (0.3333, 0.6667, 0.7500).

=====

[14]
Below is a crystal of Ta2TcRh relaxed with PBEsol, with properties calculated at the SCAN level.

As for the distance to the lowest polymorph of the same formula: 0.000 eV per formula unit. Its energy relative to the elements is -0.465 eV per atom.

The space group is P4/mmm (No. 123) and the conventional cell measures 3.1853, 3.1853 and 6.1594 Å, with angles of 90.00, 90.00 and 90.00 degrees. Symmetry generates all atoms from Ta at (0.0000, 0.0000, 0.2456), Tc at (0.5000, 0.5000, 0.0000) and Rh at (0.5000, 0.5000, 0.5000).

=====

[15]
Below is a crystal of TaTcRh relaxed with PBEsol, with properties calculated at the SCAN level.

As for the distance to the lowest polymorph of the same formula: 0.270 eV per formula unit. Its energy relative to the elements is -0.027 eV per atom.

The space group is P3m1 (No. 156) and the conventional cell measures 2.7540, 2.7540 and 6.8634 Å, with angles of 90.00, 90.00 and 120.00 degrees. Symmetry generates all atoms from Ta at (0.0000, 0.0000, 0.0000), Tc at (0.3333, 0.6667, 0.6480) and Rh at (0.6667, 0.3333, 0.3326).

=====

[16]
Below is a crystal of Ta2TcRh relaxed with PBEsol, with properties calculated at the SCAN level.

As for the distance to the lowest polymorph of the same formula: 0.805 eV per formula unit. Its energy relative to the elements is -0.264 eV per atom.

The space group is Immm (No. 71) and the conventional cell measures 3.3234, 4.5714 and 8.2579 Å, with angles of 90.00, 90.00 and 90.00 degrees. Symmetry generates all atoms from Ta at (0.0000, 0.0000, 0.2467), Tc at (0.0000, 0.5000, 0.5000) and Rh at (0.0000, 0.5000, 0.0000).

=====

[17]
Below is a crystal of TaTcRh relaxed with PBEsol, with properties calculated at the SCAN level.

As for the distance to the lowest polymorph of the same formula: 0.000 eV per formula unit. Its energy relative to the elements is -0.117 eV per atom.

The space group is P-6m2 (No. 187) and the conventional cell measures 4.4007, 4.4007 and 2.6989 Å, with angles of 90.00, 90.00 and 120.00 degrees. Symmetry generates all atoms from Ta at (0.0000, 0.0000, 0.0000), Tc at (0.3333, 0.6667, 0.5000) and Rh at (0.6667, 0.3333, 0.0000).

=====

[18]
Below is a crystal of TaTc2Rh relaxed with PBEsol, with properties calculated at the SCAN level.

As for the distance to the lowest polymorph of the same formula: 0.135 eV per formula unit. Its energy relative to the elements is -0.202 eV per atom.

The space group is I-4m2 (No. 119) and the conventional cell measures 3.8970, 3.8970 and 7.7263 Å, with angles of 90.00, 90.00 and 90.00 degrees. Symmetry generates all atoms from Ta at (0.0000, 0.0000, 0.0000), Tc at (0.0000, 0.0000, 0.5000), Tc at (0.0000, 0.5000, 0.7500) and Rh at (0.0000, 0.5000, 0.2500).

=====

[19]
Below is a crystal of TaTc2Rh relaxed with PBEsol, with properties calculated at the SCAN level.

As for the distance to the lowest polymorph of the same formula: 0.000 eV per formula unit. Its energy relative to the elements is -0.235 eV per atom.

The space group is P4/mmm (No. 123) and the conventional cell measures 3.8264, 3.8264 and 3.9997 Å, with angles of 90.00, 90.00 and 90.00 degrees. Symmetry generates all atoms from Ta at (0.0000, 0.0000, 0.0000), Tc at (0.0000, 0.5000, 0.5000) and Rh at (0.5000, 0.5000, 0.0000).

=====

[20]
Below is a crystal of TaTcRh3 relaxed with PBEsol, with properties calculated at the SCAN level.

Its energy relative to the elements is 1.224 eV per atom.

The space group is Pm-3m (No. 221) and the conventional cell measures 4.6098, 4.6098 and 4.6098 Å, with angles of 90.00, 90.00 and 90.00 degrees. Symmetry generates all atoms from Ta at (0.0000, 0.0000, 0.0000), Tc at (0.5000, 0.5000, 0.5000) and Rh at (0.0000, 0.0000, 0.5000).

=====

[21]
Below is a crystal of TaTcRhW2 relaxed with PBEsol, with properties calculated at the SCAN level.

Its energy relative to the elements is 1.915 eV per atom.

The space group is P4/mmm (No. 123) and the conventional cell measures 4.6085, 4.6085 and 4.5020 Å, with angles of 90.00, 90.00 and 90.00 degrees. Symmetry generates all atoms from Ta at (0.0000, 0.0000, 0.0000), Tc at (0.5000, 0.5000, 0.0000), Rh at (0.5000, 0.5000, 0.5000) and W at (0.0000, 0.5000, 0.5000).

=====

[22]
Below is a crystal of TaTe2Rh relaxed with PBEsol, with properties calculated at the SCAN level.

The energy relative to the elements, uncorrected comes out at -0.309 eV per atom.

The space group is Pm (No. 6) and the conventional cell measures 3.9228, 3.9291 and 6.4600 Å, with angles of 90.00, 92.62 and 90.00 degrees. Symmetry generates all atoms from Ta at (0.0000, 0.0000, 0.0000), Te at (0.0558, 0.5000, 0.7086), Te at (0.5055, 0.0000, 0.2963) and Rh at (0.5576, 0.5000, 0.0055).

=====

[23]
Below is a crystal of TaTe2Rh relaxed with PBEsol, with properties calculated at the SCAN level.

The energy relative to the elements, uncorrected comes out at 0.430 eV per atom.

The space group is R-3m (No. 166, hexagonal axes) and the conventional cell measures 3.3166, 3.3166 and 27.1434 Å, with angles of 90.00, 90.00 and 120.00 degrees. Symmetry generates all atoms from Ta at (0.0000, 0.0000, 0.0000), Te at (0.0000, 0.0000, 0.0997) and Rh at (0.0000, 0.0000, 0.5000).

=====

[24]
Below is a crystal of TaTe2Rh relaxed with PBEsol, with properties calculated at the SCAN level.

The energy relative to the elements, uncorrected comes out at 0.159 eV per atom.

The space group is Fm-3m (No. 225) and the conventional cell measures 6.7151, 6.7151 and 6.7151 Å, with angles of 90.00, 90.00 and 90.00 degrees. Symmetry generates all atoms from Ta at (0.0000, 0.0000, 0.0000), Te at (0.2500, 0.2500, 0.2500) and Rh at (0.0000, 0.0000, 0.5000).

=====

[25]
Below is a crystal of TaTeRh3 relaxed with PBEsol, with properties calculated at the SCAN level.

The energy relative to the elements, uncorrected comes out at 0.801 eV per atom.

The space group is Pm-3m (No. 221) and the conventional cell measures 4.6868, 4.6868 and 4.6868 Å, with angles of 90.00, 90.00 and 90.00 degrees. Symmetry generates all atoms from Ta at (0.0000, 0.0000, 0.0000), Te at (0.5000, 0.5000, 0.5000) and Rh at (0.0000, 0.0000, 0.5000).

=====

[26]
Below is a crystal of TaTe2Rh relaxed with PBEsol, with properties calculated at the SCAN level.

The energy relative to the elements, uncorrected comes out at 0.481 eV per atom.

The space group is Pmmm (No. 47) and the conventional cell measures 3.2945, 4.4406 and 5.4020 Å, with angles of 90.00, 90.00 and 90.00 degrees. Symmetry generates all atoms from Ta at (0.0000, 0.0000, 0.0000), Te at (0.0000, 0.5000, 0.5000), Te at (0.5000, 0.5000, 0.0000) and Rh at (0.5000, 0.0000, 0.5000).

=====

no.,volume (A^3/atom)
1,15.999
2,14.657
3,15.234
4,15.564
5,14.651
6,17.083
7,14.732
8,15.461
9,15.877
10,22.651
11,15.729
12,16.031
13,14.875
14,15.623
15,15.027
16,15.683
17,15.088
18,14.667
19,14.641
20,19.592
21,19.123
22,24.866
23,21.548
24,18.925
25,20.590
26,19.757